# Cs2KPrBr6, single point on PBEsol structure, DFT SCAN
# - E: -264.58 eV per cell
# - Space-group type: Fm-3m, No. 225
# - ΔE_f (raw): -2.055 eV/atom
data_Cs2KPrBr6
_cell_length_a 8.396
_cell_length_b 8.396
_cell_length_c 8.396
_cell_angle_alpha 60.00
_cell_angle_beta 60.00
_cell_angle_gamma 60.00
_symmetry_space_group_name_H-M 'P 1'
_symmetry_Int_Tables_number 1
loop_
_symmetry_equiv_pos_as_xyz
'x,y,z'
loop_
_atom_site_label
_atom_site_fract_x
_atom_site_fract_y
_atom_site_fract_z
K1 0.500 0.500 0.500
Pr1 0.000 0.000 0.000
Br1 0.759 0.759 0.241
Br2 0.241 0.759 0.759
Cs1 0.250 0.250 0.250
Cs2 0.750 0.750 0.750
Br3 0.241 0.241 0.759
Br4 0.241 0.759 0.241
Br5 0.759 0.241 0.759
Br6 0.759 0.241 0.241